VASP calculation (PBE-GGA) on crystalline CsHfSc2Zn at its relaxed geometry.

Unit cell a=5.171 b=5.317 c=5.171 alpha=90.00 beta=90.00 gamma=90.00
Fractional coordinates of all 5 atoms:
Sc 0.000 0.000 0.500
Cs 0.000 0.000 0.000
Hf 0.500 0.500 0.500
Zn 0.000 0.500 0.000
Sc 0.500 0.000 0.000

VASP energy	-16.3	eV per formula unit
energy of formation	1693	meV per atom


VASP calculation (PBE-GGA) on crystalline CaAc3Ge2 at its relaxed geometry.

Unit cell a=7.402 b=8.006 c=9.341 alpha=115.37 beta=113.34 gamma=90.00
Fractional coordinates of all 12 atoms:
Ge 0.429 0.635 0.271
Ac 0.500 0.750 0.000
Ac 0.500 0.250 0.000
Ac 0.776 0.526 0.553
Ac 0.224 0.974 0.447
Ge 0.571 0.365 0.729
Ge 0.158 0.865 0.729
Ca 0.000 0.000 0.000
Ac 0.224 0.474 0.447
Ge 0.842 0.135 0.271
Ca 0.000 0.500 0.000
Ac 0.776 0.026 0.553

VASP energy	-26.1	eV per formula unit
energy of formation	-418	meV per atom


VASP calculation (PBE-GGA) on crystalline Pm3Nd2TmBi6 at its relaxed geometry.

Unit cell a=4.568 b=9.130 c=10.206 alpha=102.92 beta=102.93 gamma=90.00
Fractional coordinates of all 12 atoms:
Pm 0.500 0.500 0.000
Bi 0.001 0.758 0.003
Bi 0.999 0.242 0.997
Pm 0.168 0.834 0.337
Nd 0.834 0.668 0.669
Pm 0.832 0.166 0.663
Tm 0.500 0.000 0.000
Bi 0.334 0.416 0.667
Bi 0.336 0.920 0.673
Nd 0.166 0.332 0.331
Bi 0.666 0.584 0.333
Bi 0.664 0.080 0.327

VASP energy	-62.5	eV per formula unit
energy of formation	-913	meV per atom


VASP calculation (PBE-GGA) on crystalline SrSc2Cl at its relaxed geometry.

Unit cell a=3.495 b=3.495 c=10.167 alpha=90.00 beta=90.00 gamma=118.11
Fractional coordinates of all 4 atoms:
Cl 0.500 0.500 0.750
Sc 0.000 0.000 0.547
Sc 0.000 0.000 0.953
Sr 0.500 0.500 0.250

energy relative to the elements, uncorrected	-25.6	kJ/mol of atoms
VASP energy	-17.3	eV per formula unit
energy relative to the lowest polymorph listed for this composition	311	meV/atom


VASP calculation (PBE-GGA) on crystalline LiCr2AsAu at its relaxed geometry.

Unit cell a=4.634 b=4.152 c=4.634 alpha=90.00 beta=90.00 gamma=90.00
Fractional coordinates of all 5 atoms:
As 0.000 0.500 0.000
Cr 0.500 0.000 0.000
Au 0.500 0.500 0.500
Li 0.000 0.000 0.000
Cr 0.000 0.000 0.500

VASP energy	-25.2	eV per formula unit
energy of formation	780	meV per atom


VASP calculation (PBE-GGA) on crystalline PrSb2Rh5 at its relaxed geometry.

Unit cell a=3.983 b=6.669 c=6.669 alpha=65.85 beta=72.62 gamma=72.62
Fractional coordinates of all 8 atoms:
Pr 0.000 0.000 0.000
Rh 0.365 0.829 0.441
Rh 0.000 0.500 0.500
Sb 0.245 0.255 0.255
Sb 0.755 0.745 0.745
Rh 0.635 0.171 0.559
Rh 0.635 0.559 0.171
Rh 0.365 0.441 0.829

energy relative to the elements, uncorrected	-46.6	kJ/mol of atoms
VASP energy	-53.6	eV per formula unit


VASP calculation (PBE-GGA) on crystalline Ac4Sm2Te3N2 at its relaxed geometry.

Unit cell a=4.950 b=4.950 c=14.122 alpha=100.09 beta=100.09 gamma=90.00
Fractional coordinates of all 11 atoms:
Sm 0.697 0.697 0.393
N 0.386 0.386 0.772
Ac 0.914 0.414 0.827
Te 0.000 0.000 0.000
Te 0.182 0.182 0.365
Sm 0.303 0.303 0.607
Ac 0.586 0.086 0.173
Te 0.818 0.818 0.635
N 0.614 0.614 0.228
Ac 0.414 0.914 0.827
Ac 0.086 0.586 0.173

energy relative to the elements, uncorrected	-98.5	kJ/mol of atoms
VASP energy	-63.2	eV per formula unit


VASP calculation (PBE-GGA) on crystalline Cu5As at its relaxed geometry.

Unit cell a=4.961 b=4.961 c=6.183 alpha=75.17 beta=75.17 gamma=31.93
Fractional coordinates of all 6 atoms:
As 0.002 0.002 0.998
Cu 0.329 0.329 0.341
Cu 0.723 0.723 0.062
Cu 0.053 0.053 0.393
Cu 0.671 0.671 0.656
Cu 0.388 0.388 0.717

VASP energy	-24.8	eV per formula unit
energy of formation	59	meV per atom


VASP calculation (PBE-GGA) on crystalline LaSm15Dy4 at its relaxed geometry.

Unit cell a=5.118 b=5.118 c=25.595 alpha=90.00 beta=90.00 gamma=90.00
Fractional coordinates of all 20 atoms:
Sm 0.000 0.500 0.102
Sm 0.500 0.500 0.000
Sm 0.500 0.000 0.898
Sm 0.500 0.500 0.798
Sm 0.500 0.000 0.301
Sm 0.500 0.500 0.202
Sm 0.500 0.000 0.699
Dy 0.000 0.000 0.401
Sm 0.500 0.000 0.500
Dy 0.000 0.000 0.201
Sm 0.000 0.500 0.500
Sm 0.000 0.500 0.699
Sm 0.500 0.500 0.401
Dy 0.000 0.000 0.799
Sm 0.500 0.500 0.599
Sm 0.000 0.500 0.898
Dy 0.000 0.000 0.599
La 0.000 0.000 0.000
Sm 0.000 0.500 0.301
Sm 0.500 0.000 0.102

VASP energy	-93.8	eV per formula unit
energy of formation	18	meV per atom


VASP calculation (PBE-GGA) on crystalline Cs2PmSnS4 at its relaxed geometry.

Unit cell a=6.924 b=8.346 c=13.216 alpha=83.76 beta=74.81 gamma=65.49
Fractional coordinates of all 16 atoms:
S 0.594 0.194 0.102
S 0.156 0.306 0.398
Cs 0.568 0.500 0.864
Sn 0.500 0.000 0.000
S 0.304 0.806 0.102
Cs 0.932 0.500 0.136
Pm 0.750 0.500 0.500
S 0.860 0.694 0.602
Cs 0.818 0.000 0.364
S 0.212 0.194 0.898
Cs 0.182 0.000 0.636
Pm 0.000 0.000 0.000
S 0.890 0.806 0.898
Sn 0.250 0.500 0.500
S 0.538 0.306 0.602
S 0.446 0.694 0.398

energy relative to the elements, uncorrected	-105.1	kJ/mol of atoms
VASP energy	-35.7	eV per formula unit


VASP calculation (PBE-GGA) on crystalline KRe at its relaxed geometry.

Unit cell a=9.647 b=9.647 c=9.647 alpha=90.00 beta=90.00 gamma=90.00
Fractional coordinates of all 12 atoms:
Re 0.500 0.000 0.750
K 0.250 0.000 0.500
Re 0.500 0.000 0.250
Re 0.250 0.500 0.000
K 0.000 0.500 0.250
K 0.000 0.500 0.750
K 0.500 0.750 0.000
K 0.500 0.250 0.000
Re 0.000 0.750 0.500
Re 0.750 0.500 0.000
K 0.750 0.000 0.500
Re 0.000 0.250 0.500

VASP energy	-6.7	eV per formula unit
energy relative to the lowest polymorph listed for this composition	2599	meV/atom
energy of formation	3429	meV per atom


VASP calculation (PBE-GGA) on crystalline Tl2In2Cl5 at its relaxed geometry.

Unit cell a=4.824 b=8.395 c=9.017 alpha=109.42 beta=105.51 gamma=90.00
Fractional coordinates of all 9 atoms:
Tl 0.621 0.010 0.242
In 0.084 0.493 0.168
Tl 0.379 0.990 0.758
Cl 0.623 0.408 0.246
Cl 0.377 0.592 0.754
Cl 0.000 0.000 0.000
Cl 0.818 0.201 0.635
In 0.916 0.507 0.832
Cl 0.182 0.799 0.365

energy relative to the elements, uncorrected	-87.9	kJ/mol of atoms
VASP energy	-27.6	eV per formula unit
energy relative to the lowest polymorph listed for this composition	14	meV/atom


VASP calculation (PBE-GGA) on crystalline Na2CrAsS4 at its relaxed geometry.

Unit cell a=6.457 b=6.945 c=6.676 alpha=131.68 beta=129.72 gamma=72.65
Fractional coordinates of all 8 atoms:
Na 0.289 0.289 0.578
S 0.023 0.085 0.640
As 0.766 0.766 0.531
S 0.317 0.760 0.149
Na 0.538 0.038 0.076
S 0.617 0.555 0.641
Cr 0.005 0.505 0.010
S 0.833 0.389 0.149

energy relative to the elements, uncorrected	-61.5	kJ/mol of atoms
VASP energy	-38.5	eV per formula unit


VASP calculation (PBE-GGA) on crystalline BaNiN at its relaxed geometry.

Unit cell a=4.172 b=4.172 c=7.265 alpha=90.00 beta=90.00 gamma=90.00
Fractional coordinates of all 6 atoms:
Ba 0.000 0.000 0.000
Ni 0.500 0.500 0.170
Ni 0.500 0.500 0.830
N 0.500 0.500 0.414
Ba 0.000 0.000 0.500
N 0.500 0.500 0.586

energy relative to the elements, uncorrected	-12.6	kJ/mol of atoms
VASP energy	-16.4	eV per formula unit


VASP calculation (PBE-GGA) on crystalline DyNb4Si4 at its relaxed geometry.

Unit cell a=5.024 b=8.438 c=8.438 alpha=90.00 beta=90.00 gamma=90.00
Fractional coordinates of all 18 atoms:
Si 0.114 0.162 0.319
Nb 0.877 0.374 0.137
Nb 0.877 0.626 0.863
Dy 0.500 0.500 0.500
Nb 0.623 0.874 0.637
Si 0.114 0.838 0.681
Si 0.886 0.681 0.162
Si 0.886 0.319 0.838
Si 0.386 0.662 0.819
Dy 0.000 0.000 0.000
Nb 0.377 0.637 0.126
Si 0.614 0.181 0.662
Si 0.614 0.819 0.338
Nb 0.123 0.137 0.626
Nb 0.623 0.126 0.363
Si 0.386 0.338 0.181
Nb 0.377 0.363 0.874
Nb 0.123 0.863 0.374

energy relative to the elements, uncorrected	-36.6	kJ/mol of atoms
VASP energy	-70.0	eV per formula unit


VASP calculation (PBE-GGA) on crystalline PuNp6S12 at its relaxed geometry.

Unit cell a=7.847 b=7.847 c=7.847 alpha=99.77 beta=99.77 gamma=99.77
Fractional coordinates of all 19 atoms:
Pu 0.000 0.000 0.000
S 0.064 0.328 0.947
S 0.936 0.672 0.053
S 0.579 0.430 0.177
S 0.570 0.823 0.421
S 0.053 0.936 0.672
Np 0.379 0.864 0.695
S 0.947 0.064 0.328
S 0.328 0.947 0.064
Np 0.864 0.695 0.379
S 0.177 0.579 0.430
S 0.823 0.421 0.570
Np 0.136 0.305 0.621
S 0.421 0.570 0.823
Np 0.695 0.379 0.864
Np 0.621 0.136 0.305
S 0.672 0.053 0.936
S 0.430 0.177 0.579
Np 0.305 0.621 0.136

energy relative to the elements, uncorrected	-135.4	kJ/mol of atoms
VASP energy	-168.2	eV per formula unit


VASP calculation (PBE-GGA) on crystalline La2NiP2N6 at its relaxed geometry.

Unit cell a=5.463 b=5.463 c=6.069 alpha=63.25 beta=63.25 gamma=60.00
Fractional coordinates of all 11 atoms:
La 0.778 0.778 0.666
N 0.245 0.245 0.755
N 0.754 0.245 0.755
P 0.427 0.427 0.718
N 0.755 0.755 0.245
N 0.246 0.755 0.245
P 0.573 0.573 0.282
La 0.222 0.222 0.334
N 0.245 0.754 0.755
Ni 0.000 0.000 0.000
N 0.755 0.246 0.245

energy relative to the elements, uncorrected	-58.4	kJ/mol of atoms
VASP energy	-83.1	eV per formula unit


Ordered V results: 142.2; 449.5; 403.8; 109.5; 89.2; 151.1; 335.2; 77.6; 670.5; 670.7; 897.9; 330.3; 167.8; 126.5; 357.7; 459.3; 134.0; unit Å³ per cell.